## BaGaClF4 (GGA-PBE)

Data for a relaxed structure of BaGaClF4.

Properties
* total energy: -0.3578 Ry/atom
* E_form (uncorrected): -272.8 kJ/mol of atoms

```
BaGaClF4
1.0
-6.880 -0.456 -0.376
-1.499 -6.324 -2.335
-1.689 -3.696 6.437
Ba Ga Cl F
2 2 2 8
direct
0.212 0.212 0.865
0.788 0.788 0.135
0.632 0.632 0.743
0.368 0.368 0.257
0.031 0.031 0.236
0.969 0.969 0.764
0.305 0.305 0.498
0.695 0.695 0.502
0.144 0.487 0.145
0.535 0.535 0.203
0.513 0.856 0.855
0.487 0.144 0.145
0.465 0.465 0.797
0.856 0.513 0.855
```

---

## BaGeClF6 (GGA-PBE)

Data for a relaxed structure of BaGeClF6.

Properties
* total energy: -0.3479 Ry/atom
* E_form (uncorrected): -246.4 kJ/mol of atoms

```
BaGeClF6
1.0
-3.633 4.744 3.825
-1.475 0.325 5.869
3.719 2.902 2.303
Ba Ge Cl F
1 1 1 6
direct
0.683 0.682 0.186
0.342 0.316 0.571
0.879 0.199 0.779
0.178 0.345 0.324
0.401 0.961 0.746
0.511 0.242 0.845
0.038 0.547 0.768
0.316 0.639 0.401
0.651 0.069 0.380
```

---

## BaHf2ClF (GGA-PBE)

Data for a relaxed structure of BaHf2ClF.

Properties
* total energy: -0.2879 Ry/atom
* E_form (uncorrected): 115.1 kJ/mol of atoms

```
BaHf2ClF
1.0
6.043 0.000 0.000
0.000 5.698 0.000
0.000 0.000 6.043
F Hf Ba Cl
1 2 1 1
direct
0.500 0.500 0.500
0.000 0.000 0.500
0.500 0.000 0.000
0.000 0.000 0.000
0.000 0.500 0.000
```

---

Volume in A^3/atom, matching the order above: 23.94, 17.53, 41.61